[1]
# CuAsCl4 (GGA-PBE, optimized geometry)
data_CuAsCl4
_cell_length_a 5.537
_cell_length_b 5.559
_cell_length_c 11.851
_cell_angle_alpha 90.00
_cell_angle_beta 90.00
_cell_angle_gamma 90.00
_space_group_name_H-M_alt 'P 2 2 2'
_space_group_IT_number 16
_space_group_name_Hall 'P 2 2'
loop_
_atom_site_label
_atom_site_type_symbol
_atom_site_fract_x
_atom_site_fract_y
_atom_site_fract_z
_atom_site_occupancy
Cu1 Cu 0.000 0.000 0.000 1
Cu2 Cu 0.500 0.000 0.500 1
As1 As 0.000 0.000 0.500 1
As2 As 0.000 0.500 0.000 1
Cl1 Cl 0.243 0.239 0.118 1
Cl2 Cl 0.262 0.244 0.618 1
# E above lowest polymorph, meV/atom: 0
# D(E_F), states/eV/cell: 0.00
# Energy relative to the elements, uncorrected, eV per formula unit: -2.8
# Uncorrected energy, Ry/atom: -0.23152
# Spin magnetization, μB per formula unit: 0.17



[2]
# Cu2AsCl6 (GGA-PBE, optimized geometry)
data_Cu2AsCl6
_cell_length_a 14.126
_cell_length_b 12.795
_cell_length_c 7.059
_cell_angle_alpha 90.00
_cell_angle_beta 113.87
_cell_angle_gamma 90.00
_space_group_name_H-M_alt 'C 1 2/c 1'
_space_group_IT_number 15
_space_group_name_Hall '-C 2yc'
loop_
_atom_site_label
_atom_site_type_symbol
_atom_site_fract_x
_atom_site_fract_y
_atom_site_fract_z
_atom_site_occupancy
Cu1 Cu 0.225 0.031 0.304 1
As1 As 0.000 0.395 0.250 1
Cl1 Cl 0.103 0.284 0.185 1
Cl2 Cl 0.120 0.408 0.642 1
Cl3 Cl 0.130 0.011 0.967 1
# E above lowest polymorph, meV/atom: 0
# D(E_F), states/eV/cell: 15.20
# Energy relative to the elements, uncorrected, eV per formula unit: -5.1
# Uncorrected energy, Ry/atom: -0.23697
# Spin magnetization, μB per formula unit: 0.41



[3]
# Cu3AsCl9 (GGA-PBE, optimized geometry)
data_Cu3AsCl9
_cell_length_a 18.810
_cell_length_b 7.241
_cell_length_c 12.896
_cell_angle_alpha 90.00
_cell_angle_beta 124.56
_cell_angle_gamma 90.00
_space_group_name_H-M_alt 'C 1 c 1'
_space_group_IT_number 9
_space_group_name_Hall 'C -2yc'
loop_
_atom_site_label
_atom_site_type_symbol
_atom_site_fract_x
_atom_site_fract_y
_atom_site_fract_z
_atom_site_occupancy
Cu1 Cu 0.000 0.041 0.000 1
Cu2 Cu 0.110 0.398 0.913 1
Cu3 Cu 0.388 0.106 0.602 1
As1 As 0.247 0.242 0.754 1
Cl1 Cl 0.058 0.111 0.896 1
Cl2 Cl 0.127 0.036 0.689 1
Cl3 Cl 0.152 0.477 0.610 1
Cl4 Cl 0.232 0.380 0.924 1
Cl5 Cl 0.262 0.100 0.595 1
Cl6 Cl 0.345 0.009 0.410 1
Cl7 Cl 0.372 0.454 0.822 1
Cl8 Cl 0.447 0.379 0.609 1
Cl9 Cl 0.484 0.043 0.805 1
# D(E_F), states/eV/cell: 33.59
# Energy relative to the elements, uncorrected, eV per formula unit: -6.0
# Uncorrected energy, Ry/atom: -0.22342
# Spin magnetization, μB per formula unit: 0.00



[4]
# CuAsCl4 (GGA-PBE, optimized geometry)
data_CuAsCl4
_cell_length_a 8.133
_cell_length_b 8.133
_cell_length_c 8.133
_cell_angle_alpha 90.00
_cell_angle_beta 90.00
_cell_angle_gamma 90.00
_space_group_name_H-M_alt 'F -4 3 m'
_space_group_IT_number 216
_space_group_name_Hall 'F -4 2 3'
loop_
_atom_site_label
_atom_site_type_symbol
_atom_site_fract_x
_atom_site_fract_y
_atom_site_fract_z
_atom_site_occupancy
Cu1 Cu 0.000 0.000 0.000 1
As1 As 0.250 0.250 0.750 1
Cl1 Cl 0.126 0.126 0.374 1
# E above lowest polymorph, meV/atom: 1451
# D(E_F), states/eV/cell: 20.58
# Energy relative to the elements, uncorrected, eV per formula unit: 5.9
# Uncorrected energy, Ry/atom: -0.12490
# Spin magnetization, μB per formula unit: 1.85